Entry from Alexandria: a relaxed Zr3NbBi crystal (PBE).

Output
- E_form: 1.370 eV per atom
- Space-group type: Pm-3m, No. 221

Cell and atoms, written as CIF:
```
data_Zr3NbBi
_chemical_formula_sum 'Zr3 Nb1 Bi1'
_cell_length_a 5.307
_cell_length_b 5.307
_cell_length_c 5.307
_cell_angle_alpha 90.00
_cell_angle_beta 90.00
_cell_angle_gamma 90.00
_symmetry_space_group_name_H-M 'P 1'
_symmetry_Int_Tables_number 1
loop_
_symmetry_equiv_pos_as_xyz
'x,y,z'
loop_
_atom_site_label
_atom_site_type_symbol
_atom_site_fract_x
_atom_site_fract_y
_atom_site_fract_z
Nb1 Nb 0.500 0.500 0.500
Zr1 Zr 0.000 0.500 0.000
Zr2 Zr 0.500 0.000 0.000
Zr3 Zr 0.000 0.000 0.500
Bi1 Bi 0.000 0.000 0.000
```

***

Entry from Alexandria: a relaxed YMn3Ir crystal (PBE).

Output
- E_form: 2.484 eV per atom
- Space-group type: Pm-3m, No. 221

Cell and atoms, written as CIF:
```
data_YMn3Ir
_chemical_formula_sum 'Y1 Mn3 Ir1'
_cell_length_a 4.377
_cell_length_b 4.377
_cell_length_c 4.377
_cell_angle_alpha 90.00
_cell_angle_beta 90.00
_cell_angle_gamma 90.00
_symmetry_space_group_name_H-M 'P 1'
_symmetry_Int_Tables_number 1
loop_
_symmetry_equiv_pos_as_xyz
'x,y,z'
loop_
_atom_site_label
_atom_site_type_symbol
_atom_site_fract_x
_atom_site_fract_y
_atom_site_fract_z
Mn1 Mn 0.000 0.500 0.000
Mn2 Mn 0.500 0.000 0.000
Mn3 Mn 0.000 0.000 0.500
Y1 Y 0.000 0.000 0.000
Ir1 Ir 0.500 0.500 0.500
```

***

Entry from Alexandria: a relaxed MnSbCl crystal (PBE).

Output
- Space-group type: P3m1, No. 156
- Formation energy from raw total energies: 0.066 eV per atom

Cell and atoms, written as CIF:
```
data_MnSbCl
_chemical_formula_sum 'Mn1 Sb1 Cl1'
_cell_length_a 4.682
_cell_length_b 4.682
_cell_length_c 3.244
_cell_angle_alpha 90.00
_cell_angle_beta 90.00
_cell_angle_gamma 120.00
_symmetry_space_group_name_H-M 'P 1'
_symmetry_Int_Tables_number 1
loop_
_symmetry_equiv_pos_as_xyz
'x,y,z'
loop_
_atom_site_label
_atom_site_type_symbol
_atom_site_fract_x
_atom_site_fract_y
_atom_site_fract_z
Cl1 Cl 0.000 0.000 0.166
Mn1 Mn 0.667 0.333 0.168
Sb1 Sb 0.333 0.667 0.666
```

***

Entry from Alexandria: a relaxed Pm4NdEr3Se8 crystal (PBE).

Output
- Space-group type: R-3m, No. 166
- Formation energy from raw total energies: -1.778 eV per atom

Cell and atoms, written as CIF:
```
data_Pm4NdEr3Se8
_chemical_formula_sum 'Pm4 Nd1 Er3 Se8'
_cell_length_a 8.240
_cell_length_b 8.337
_cell_length_c 8.244
_cell_angle_alpha 119.66
_cell_angle_beta 119.98
_cell_angle_gamma 90.00
_symmetry_space_group_name_H-M 'P 1'
_symmetry_Int_Tables_number 1
loop_
_symmetry_equiv_pos_as_xyz
'x,y,z'
loop_
_atom_site_label
_atom_site_type_symbol
_atom_site_fract_x
_atom_site_fract_y
_atom_site_fract_z
Er1 Er 0.000 0.500 0.500
Er2 Er 0.500 0.500 0.500
Er3 Er 0.500 0.500 0.000
Se1 Se 0.251 0.740 0.989
Se2 Se 0.262 0.260 0.011
Se3 Se 0.255 0.266 0.510
Se4 Se 0.749 0.260 0.498
Se5 Se 0.738 0.740 0.989
Se6 Se 0.251 0.740 0.502
Se7 Se 0.745 0.734 0.490
Se8 Se 0.749 0.260 0.011
Pm1 Pm 0.000 0.000 0.500
Pm2 Pm 0.500 0.000 0.500
Pm3 Pm 0.500 0.000 0.000
Pm4 Pm 0.000 0.000 0.000
Nd1 Nd 0.000 0.500 0.000
```

***

Entry from Alexandria: a relaxed BaSrCr2 crystal (PBE).

Output
- E_form: 1.056 eV per atom
- Space-group type: R-3m, No. 166

Cell and atoms, written as CIF:
```
data_BaSrCr2
_chemical_formula_sum 'Ba1 Sr1 Cr2'
_cell_length_a 10.470
_cell_length_b 10.470
_cell_length_c 10.470
_cell_angle_alpha 22.46
_cell_angle_beta 22.46
_cell_angle_gamma 22.46
_symmetry_space_group_name_H-M 'P 1'
_symmetry_Int_Tables_number 1
loop_
_symmetry_equiv_pos_as_xyz
'x,y,z'
loop_
_atom_site_label
_atom_site_type_symbol
_atom_site_fract_x
_atom_site_fract_y
_atom_site_fract_z
Cr1 Cr 0.502 0.502 0.502
Cr2 Cr 0.998 0.998 0.998
Ba1 Ba 0.750 0.750 0.750
Sr1 Sr 0.250 0.250 0.250
```

***

Entry from Alexandria: a relaxed Sc3FeBi crystal (PBE).

Output
- E_form: 0.897 eV per atom
- Space-group type: Pm-3m, No. 221

Cell and atoms, written as CIF:
```
data_Sc3FeBi
_chemical_formula_sum 'Sc3 Fe1 Bi1'
_cell_length_a 5.400
_cell_length_b 5.400
_cell_length_c 5.400
_cell_angle_alpha 90.00
_cell_angle_beta 90.00
_cell_angle_gamma 90.00
_symmetry_space_group_name_H-M 'P 1'
_symmetry_Int_Tables_number 1
loop_
_symmetry_equiv_pos_as_xyz
'x,y,z'
loop_
_atom_site_label
_atom_site_type_symbol
_atom_site_fract_x
_atom_site_fract_y
_atom_site_fract_z
Sc1 Sc 0.500 0.000 0.000
Sc2 Sc 0.000 0.000 0.500
Sc3 Sc 0.000 0.500 0.000
Bi1 Bi 0.000 0.000 0.000
Fe1 Fe 0.500 0.500 0.500
```

***

Entry from Alexandria: a relaxed Nb2VGa crystal (PBE).

Output
- E_form: 0.406 eV per atom
- Space-group type: I-42d, No. 122

Cell and atoms, written as CIF:
```
data_Nb2VGa
_chemical_formula_sum 'Nb4 V2 Ga2'
_cell_length_a 7.149
_cell_length_b 7.149
_cell_length_c 5.744
_cell_angle_alpha 51.52
_cell_angle_beta 51.52
_cell_angle_gamma 90.00
_symmetry_space_group_name_H-M 'P 1'
_symmetry_Int_Tables_number 1
loop_
_symmetry_equiv_pos_as_xyz
'x,y,z'
loop_
_atom_site_label
_atom_site_type_symbol
_atom_site_fract_x
_atom_site_fract_y
_atom_site_fract_z
V1 V 0.500 0.500 0.000
V2 V 0.250 0.750 0.500
Nb1 Nb 0.375 0.384 0.750
Nb2 Nb 0.875 0.866 0.750
Nb3 Nb 0.134 0.625 0.250
Nb4 Nb 0.616 0.125 0.250
Ga1 Ga 0.750 0.250 0.500
Ga2 Ga 0.000 0.000 0.000
```

***

Entry from Alexandria: a relaxed Hf5GaFe4 crystal (PBE).

Output
- E_form: -0.325 eV per atom
- Space-group type: P4/mmm, No. 123

Cell and atoms, written as CIF:
```
data_Hf5GaFe4
_chemical_formula_sum 'Hf5 Ga1 Fe4'
_cell_length_a 3.166
_cell_length_b 3.166
_cell_length_c 16.057
_cell_angle_alpha 90.00
_cell_angle_beta 90.00
_cell_angle_gamma 90.00
_symmetry_space_group_name_H-M 'P 1'
_symmetry_Int_Tables_number 1
loop_
_symmetry_equiv_pos_as_xyz
'x,y,z'
loop_
_atom_site_label
_atom_site_type_symbol
_atom_site_fract_x
_atom_site_fract_y
_atom_site_fract_z
Hf1 Hf 0.500 0.500 0.694
Hf2 Hf 0.500 0.500 0.500
Hf3 Hf 0.500 0.500 0.887
Hf4 Hf 0.500 0.500 0.306
Hf5 Hf 0.500 0.500 0.113
Fe1 Fe 0.000 0.000 0.206
Fe2 Fe 0.000 0.000 0.598
Fe3 Fe 0.000 0.000 0.794
Fe4 Fe 0.000 0.000 0.402
Ga1 Ga 0.000 0.000 0.000
```

***

Entry from Alexandria: a relaxed Tb2CuSi4Ir3 crystal (PBE).

Output
- Space-group type: P-4m2, No. 115
- Formation energy from raw total energies: -0.906 eV per atom

Cell and atoms, written as CIF:
```
data_Tb2CuSi4Ir3
_chemical_formula_sum 'Tb2 Cu1 Si4 Ir3'
_cell_length_a 4.133
_cell_length_b 4.133
_cell_length_c 9.874
_cell_angle_alpha 90.00
_cell_angle_beta 90.00
_cell_angle_gamma 90.00
_symmetry_space_group_name_H-M 'P 1'
_symmetry_Int_Tables_number 1
loop_
_symmetry_equiv_pos_as_xyz
'x,y,z'
loop_
_atom_site_label
_atom_site_type_symbol
_atom_site_fract_x
_atom_site_fract_y
_atom_site_fract_z
Tb1 Tb 0.000 0.500 0.754
Tb2 Tb 0.500 0.000 0.246
Si1 Si 0.000 0.000 0.000
Si2 Si 0.000 0.500 0.369
Si3 Si 0.500 0.500 0.000
Si4 Si 0.500 0.000 0.631
Ir1 Ir 0.500 0.000 0.872
Ir2 Ir 0.000 0.000 0.500
Ir3 Ir 0.000 0.500 0.128
Cu1 Cu 0.500 0.500 0.500
```

***

Entry from Alexandria: a relaxed CeThOs2 crystal (PBE).

Output
- E_form: -0.099 eV per atom
- Space-group type: P4/mmm, No. 123

Cell and atoms, written as CIF:
```
data_CeThOs2
_chemical_formula_sum 'Ce1 Th1 Os2'
_cell_length_a 3.403
_cell_length_b 3.403
_cell_length_c 7.445
_cell_angle_alpha 90.00
_cell_angle_beta 90.00
_cell_angle_gamma 90.00
_symmetry_space_group_name_H-M 'P 1'
_symmetry_Int_Tables_number 1
loop_
_symmetry_equiv_pos_as_xyz
'x,y,z'
loop_
_atom_site_label
_atom_site_type_symbol
_atom_site_fract_x
_atom_site_fract_y
_atom_site_fract_z
Th1 Th 0.500 0.500 0.000
Ce1 Ce 0.500 0.500 0.500
Os1 Os 0.000 0.000 0.740
Os2 Os 0.000 0.000 0.260
```

***

Entry from Alexandria: a relaxed Ba2MgSe crystal (PBE).

Output
- Space-group type: R-3m, No. 166
- Formation energy from raw total energies: -0.879 eV per atom

Cell and atoms, written as CIF:
```
data_Ba2MgSe
_chemical_formula_sum 'Ba2 Mg1 Se1'
_cell_length_a 4.642
_cell_length_b 4.642
_cell_length_c 9.681
_cell_angle_alpha 76.12
_cell_angle_beta 76.12
_cell_angle_gamma 59.97
_symmetry_space_group_name_H-M 'P 1'
_symmetry_Int_Tables_number 1
loop_
_symmetry_equiv_pos_as_xyz
'x,y,z'
loop_
_atom_site_label
_atom_site_type_symbol
_atom_site_fract_x
_atom_site_fract_y
_atom_site_fract_z
Mg1 Mg 0.750 0.750 0.750
Se1 Se 0.250 0.250 0.250
Ba1 Ba 0.986 0.986 0.043
Ba2 Ba 0.514 0.514 0.457
```

***

Entry from Alexandria: a relaxed CsCaAl2 crystal (PBE).

Output
- E_form: 0.434 eV per atom
- Space-group type: Fm-3m, No. 225

Cell and atoms, written as CIF:
```
data_CsCaAl2
_chemical_formula_sum 'Cs1 Ca1 Al2'
_cell_length_a 5.735
_cell_length_b 5.735
_cell_length_c 5.735
_cell_angle_alpha 60.00
_cell_angle_beta 60.00
_cell_angle_gamma 60.00
_symmetry_space_group_name_H-M 'P 1'
_symmetry_Int_Tables_number 1
loop_
_symmetry_equiv_pos_as_xyz
'x,y,z'
loop_
_atom_site_label
_atom_site_type_symbol
_atom_site_fract_x
_atom_site_fract_y
_atom_site_fract_z
Al1 Al 0.250 0.250 0.250
Al2 Al 0.750 0.750 0.750
Cs1 Cs 0.500 0.500 0.500
Ca1 Ca 0.000 0.000 0.000
```

***

Number 1: density 6.39 g/cm³, raw total energy -6.55 eV/atom. Number 2: density 8.83 g/cm³, raw total energy -6.08 eV/atom. Number 3: density 5.72 g/cm³, raw total energy -4.98 eV/atom. Number 4: density 7.66 g/cm³, raw total energy -5.86 eV/atom. Number 5: density 3.72 g/cm³, raw total energy -4.66 eV/atom. Number 6: density 4.21 g/cm³, raw total energy -5.37 eV/atom. Number 7: density 7.30 g/cm³, raw total energy -7.66 eV/atom. Number 8: density 12.24 g/cm³, raw total energy -8.99 eV/atom. Number 9: density 10.54 g/cm³, raw total energy -7.07 eV/atom. Number 10: density 14.50 g/cm³, raw total energy -9.05 eV/atom. Number 11: density 3.62 g/cm³, raw total energy -3.11 eV/atom. Number 12: density 2.83 g/cm³, raw total energy -2.15 eV/atom.